# 1
A relaxed structure of Zr6Co16Ge7, computed with PBE.

Properties
Electronic total energy: -7.276 eV/atom
Symmetry: Fm-3m

Lattice parameters (Å, degrees): 8.192 8.192 8.192 60.00 60.00 60.00
Atoms (fractional coordinates):
Co1 0.171 0.488 0.171
Zr1 0.794 0.794 0.206
Ge1 0.000 0.500 0.500
Ge2 0.500 0.000 0.500
Co2 0.137 0.621 0.621
Co3 0.171 0.171 0.488
Zr2 0.206 0.794 0.206
Ge3 0.500 0.500 0.000
Co4 0.829 0.512 0.829
Co5 0.512 0.829 0.829
Co6 0.488 0.171 0.171
Ge4 0.000 0.000 0.500
Ge5 0.500 0.500 0.500
Ge6 0.000 0.500 0.000
Co7 0.171 0.171 0.171
Zr3 0.206 0.206 0.794
Zr4 0.794 0.206 0.206
Zr5 0.206 0.794 0.794
Ge7 0.500 0.000 0.000
Co8 0.379 0.379 0.863
Co9 0.829 0.829 0.829
Co10 0.829 0.829 0.512
Co11 0.863 0.379 0.379
Co12 0.621 0.621 0.621
Co13 0.621 0.137 0.621
Co14 0.379 0.379 0.379
Zr6 0.794 0.206 0.794
Co15 0.379 0.863 0.379
Co16 0.621 0.621 0.137


# 2
A relaxed structure of K2NaWCl6, computed with PBE.

Properties
Electronic total energy: -4.134 eV/atom
Symmetry: Fm-3m

Lattice parameters (Å, degrees): 7.232 7.232 7.232 60.00 60.00 60.00
Last column: magnetic moment on the atom in μB.
Atoms (fractional coordinates):
Cl1 0.761 0.239 0.761  0.02
Cl2 0.761 0.761 0.239  0.03
Cl3 0.239 0.761 0.239  0.02
Na1 0.500 0.500 0.500  0.00
Cl4 0.761 0.239 0.239  0.02
Cl5 0.239 0.761 0.761  0.02
K1 0.250 0.250 0.250  0.00
W1 0.000 0.000 0.000  2.20
Cl6 0.239 0.239 0.761  0.03
K2 0.750 0.750 0.750  0.00


# 3
A relaxed structure of LiSmFeTe3, computed with PBE.

Properties
Electronic total energy: -4.808 eV/atom
Symmetry: Cmcm

Lattice parameters (Å, degrees): 7.402 7.402 11.559 90.00 90.00 33.13
Last column: magnetic moment on the atom in μB.
Atoms (fractional coordinates):
Sm1 0.000 0.000 0.500  0.01
Te1 0.089 0.089 0.250  0.11
Li1 0.197 0.197 0.750  0.00
Te2 0.911 0.911 0.750  0.11
Sm2 0.000 0.000 0.000  0.01
Te3 0.648 0.648 0.579  0.09
Te4 0.352 0.352 0.079  0.09
Fe1 0.474 0.474 0.250  3.10
Te5 0.648 0.648 0.921  0.09
Li2 0.803 0.803 0.250  0.00
Fe2 0.526 0.526 0.750  3.11
Te6 0.352 0.352 0.421  0.09